(1)
The following is a PBE calculation of an optimized crystal structure of CaBeTe2, from the Alexandria database.

Its uncorrected formation energy is -0.452 eV/atom. As for the density: 4.8 g/cm3.

The structure belongs to space group Immm (No. 71); the cell edges are 3.9291, 6.3738 and 8.4693 Å and the angles 90.00°, 90.00° and 90.00°. The distinct sites, in fractional coordinates, are Ca at (0.0000, 0.0000, 0.0000), Be at (0.0000, 0.0000, 0.5000) and Te at (0.0000, 0.5000, 0.1968).

(2)
The following is a PBE calculation of an optimized crystal structure of CaBe2Te, from the Alexandria database.

Its uncorrected formation energy is 0.323 eV/atom. As for the density: 4.0 g/cm3.

The structure belongs to space group I-4m2 (No. 119); the cell edges are 4.0225, 4.0225 and 9.5737 Å and the angles 90.00°, 90.00° and 90.00°. The distinct sites, in fractional coordinates, are Ca at (0.0000, 0.0000, 0.0000), Be at (0.0000, 0.0000, 0.5000), Be at (0.0000, 0.5000, 0.2500) and Te at (0.0000, 0.5000, 0.7500).

(3)
The following is a PBE calculation of an optimized crystal structure of CaBe2Te, from the Alexandria database.

Its uncorrected formation energy is 0.435 eV/atom. As for the density: 3.4 g/cm3.

The structure belongs to space group C2/m (No. 12); the cell edges are 5.7284, 10.6637 and 4.1435 Å and the angles 90.00°, 133.41° and 90.00°. The distinct sites, in fractional coordinates, are Ca at (0.0000, 0.0000, 0.0000), Be at (0.2500, 0.2500, 0.0000) and Te at (0.0000, 0.5000, 0.0000).

(4)
The following is a PBE calculation of an optimized crystal structure of Ca2BeTe, from the Alexandria database.

Its uncorrected formation energy is -0.337 eV/atom. As for the density: 3.0 g/cm3. As for the energy above the most stable polymorph in this dataset: 97 meV per atom.

The structure belongs to space group C2/m (No. 12); the cell edges are 7.6449, 4.3815 and 7.5941 Å and the angles 90.00°, 109.23° and 90.00°. The distinct sites, in fractional coordinates, are Ca at (0.2464, 0.0000, 0.2379), Be at (0.0000, 0.5000, 0.0000) and Te at (0.0000, 0.0000, 0.5000).

(5)
The following is a PBE calculation of an optimized crystal structure of CaBeTe3, from the Alexandria database.

Its uncorrected formation energy is 0.685 eV/atom. As for the density: 3.6 g/cm3. As for the energy above the most stable polymorph in this dataset: 957 meV per atom.

The structure belongs to space group Pm-3m (No. 221); the cell edges are 5.8245, 5.8245 and 5.8245 Å and the angles 90.00°, 90.00° and 90.00°. The distinct sites, in fractional coordinates, are Ca at (0.0000, 0.0000, 0.0000), Be at (0.5000, 0.5000, 0.5000) and Te at (0.0000, 0.0000, 0.5000).

(6)
The following is a PBE calculation of an optimized crystal structure of CaBeTe2, from the Alexandria database.

Its uncorrected formation energy is -0.201 eV/atom. As for the density: 5.1 g/cm3.

The structure belongs to space group Cmmm (No. 65); the cell edges are 6.8503, 7.4780 and 3.8875 Å and the angles 90.00°, 90.00° and 90.00°. The distinct sites, in fractional coordinates, are Ca at (0.0000, 0.0000, 0.0000), Be at (0.0000, 0.5000, 0.0000) and Te at (0.2500, 0.2500, 0.5000).

(7)
The following is a PBE calculation of an optimized crystal structure of CaBe2Te, from the Alexandria database.

Its uncorrected formation energy is 0.096 eV/atom. As for the density: 3.7 g/cm3.

The structure belongs to space group Imm2 (No. 44); the cell edges are 3.6925, 3.8613 and 11.7712 Å and the angles 90.00°, 90.00° and 90.00°. The distinct sites, in fractional coordinates, are Ca at (0.0000, 0.0000, 0.0000), Be at (0.0000, 0.0000, 0.3832), Be at (0.0000, 0.5000, 0.2977) and Te at (0.0000, 0.5000, 0.7364).

(8)
The following is a PBE calculation of an optimized crystal structure of CaBe2Te, from the Alexandria database.

Its uncorrected formation energy is -0.062 eV/atom. As for the density: 3.7 g/cm3.

The structure belongs to space group Cm (No. 8); the cell edges are 7.4736, 3.8297 and 6.0177 Å and the angles 90.00°, 104.99° and 90.00°. The distinct sites, in fractional coordinates, are Ca at (0.0000, 0.0000, 0.0000), Be at (0.0901, 0.5000, 0.6841), Be at (0.2839, 0.0000, 0.6724) and Te at (0.2664, 0.5000, 0.3954).

(9)
The following is a PBE calculation of an optimized crystal structure of CaBe2Te, from the Alexandria database.

Its uncorrected formation energy is 0.283 eV/atom. As for the density: 4.0 g/cm3.

The structure belongs to space group P4/mmm (No. 123); the cell edges are 4.2366, 4.2366 and 4.2865 Å and the angles 90.00°, 90.00° and 90.00°. The distinct sites, in fractional coordinates, are Ca at (0.0000, 0.0000, 0.0000), Be at (0.0000, 0.5000, 0.5000) and Te at (0.5000, 0.5000, 0.0000).

(10)
The following is a PBE calculation of an optimized crystal structure of CaBe2Te, from the Alexandria database.

Its uncorrected formation energy is 0.520 eV/atom. As for the density: 3.7 g/cm3.

The structure belongs to space group F-43m (No. 216); the cell edges are 6.9263, 6.9263 and 6.9263 Å and the angles 90.00°, 90.00° and 90.00°. The distinct sites, in fractional coordinates, are Ca at (0.0000, 0.0000, 0.0000), Be at (0.0000, 0.0000, 0.5000), Be at (0.2500, 0.2500, 0.7500) and Te at (0.2500, 0.2500, 0.2500).

(11)
The following is a PBE calculation of an optimized crystal structure of CaBe4Te, from the Alexandria database.

Its uncorrected formation energy is 0.458 eV/atom. As for the density: 3.6 g/cm3.

The structure belongs to space group F-43m (No. 216); the cell edges are 7.1855, 7.1855 and 7.1855 Å and the angles 90.00°, 90.00° and 90.00°. The distinct sites, in fractional coordinates, are Ca at (0.0000, 0.0000, 0.0000), Be at (0.1355, 0.1355, 0.3645) and Te at (0.2500, 0.2500, 0.7500).

(12)
The following is a PBE calculation of an optimized crystal structure of CaBeTe2, from the Alexandria database.

Its uncorrected formation energy is -0.686 eV/atom. As for the density: 3.2 g/cm3.

The structure belongs to space group R-3m (No. 166, hexagonal axes); the cell edges are 4.8696, 4.8696 and 22.7353 Å and the angles 90.00°, 90.00° and 120.00°. The distinct sites, in fractional coordinates, are Ca at (0.0000, 0.0000, 0.0000), Be at (0.0000, 0.0000, 0.5000) and Te at (0.0000, 0.0000, 0.4021).

Question: The highest density belongs to which entry?
Answer: number 6

Question: Which of these has the highest density?
Answer: number 6

Copy entry 1 word for word.
The following is a PBE calculation of an optimized crystal structure of CaBeTe2, from the Alexandria database.

Its uncorrected formation energy is -0.452 eV/atom. As for the density: 4.8 g/cm3.

The structure belongs to space group Immm (No. 71); the cell edges are 3.9291, 6.3738 and 8.4693 Å and the angles 90.00°, 90.00° and 90.00°. The distinct sites, in fractional coordinates, are Ca at (0.0000, 0.0000, 0.0000), Be at (0.0000, 0.0000, 0.5000) and Te at (0.0000, 0.5000, 0.1968).